--- 1 ---
Here is a relaxed KPCl2O crystal from Alexandria. Energies are from PBE.

Calculated values
Space-group type: P4/mmm, No. 123

Geometry as POSCAR:
```
KPCl2O
1.0
6.0077 0.0000 0.0000
0.0000 6.0077 0.0000
0.0000 0.0000 7.0759
P K O Cl
1 1 1 2
direct
0.0000 0.0000 0.5000
0.0000 0.0000 0.0000
0.5000 0.5000 0.5000
0.0000 0.5000 0.0000
0.5000 0.0000 0.0000
```

***

--- 2 ---
Here is a relaxed KPCl2O crystal from Alexandria. Energies are from PBE.

Calculated values
Space-group type: P4/mmm, No. 123

Geometry as POSCAR:
```
KPCl2O
1.0
5.9324 0.0000 0.0000
0.0000 5.9324 0.0000
0.0000 0.0000 3.3727
P K O Cl
1 1 1 2
direct
0.0000 0.0000 0.5000
0.5000 0.5000 0.5000
0.0000 0.0000 0.0000
0.0000 0.5000 0.0000
0.5000 0.0000 0.0000
```

***

If we sort the structures by their calculated energies, the order from most to least stable is 2, 1.